A plane-wave DFT calculation with PBE-GGA was carried out for a relaxed structure of Hf4FeCo3.

Cell lengths 7.0442, 7.0442, 7.0442 Å; angles 143.08, 143.08, 53.21 degrees
With the nearest neighbours (Å) after each atom.
Element x y z (fractional)
Hf  0.1246  0.6246  0.5000  2 Fe 2.73, 6 Co 2.73-2.74
Hf  0.3754  0.8754  0.5000  2 Fe 2.73, 6 Co 2.73-2.74
Hf  0.6246  0.1246  0.5000  2 Fe 2.73, 6 Co 2.73-2.74
Hf  0.8754  0.3754  0.5000  2 Fe 2.73, 6 Co 2.73-2.74
Fe  0.0000  0.0000  0.0000  8 Hf 2.73
Co  0.2495  0.2495  0.0000  8 Hf 2.73-2.74
Co  0.5000  0.5000  0.0000  8 Hf 2.73
Co  0.7505  0.7505  0.0000  8 Hf 2.73-2.74

Properties
As for the density of states at the Fermi level: 5.35 states/eV/cell. For the energy of formation, the calculation gives -0.38 eV/atom.



A plane-wave DFT calculation with PBE-GGA was carried out for a relaxed structure of PrSmTlHg.

Cell lengths 3.8365, 3.8365, 7.8675 Å; angles 90.00, 90.00, 90.00 degrees
With the nearest neighbours (Å) after each atom.
Element x y z (fractional)
Pr  0.0000  0.0000  0.0000  4 Hg 3.37, 4 Tl 3.42
Sm  0.0000  0.0000  0.4832  4 Hg 3.26, 4 Tl 3.36
Tl  0.5000  0.5000  0.7350  4 Sm 3.36, 4 Pr 3.42
Hg  0.5000  0.5000  0.2537  4 Sm 3.26, 4 Pr 3.37

Properties
As for the density of states at the Fermi level: 4.57 states/eV/cell. For the energy of formation, the calculation gives -0.43 eV/atom.



A plane-wave DFT calculation with PBE-GGA was carried out for a relaxed structure of YW.

Cell lengths 4.4117, 3.2529, 6.4818 Å; angles 90.00, 90.00, 90.00 degrees
With the nearest neighbours (Å) after each atom.
Element x y z (fractional)
Y  0.2500  0.0000  0.1824  6 W 3.08-3.16, 4 Y 3.23-3.25
Y  0.7500  0.0000  0.8176  6 W 3.08-3.16, 4 Y 3.23-3.25
W  0.2500  0.5000  0.6004  2 W 2.56
W  0.7500  0.5000  0.3996  2 W 2.56

Properties
As for the density of states at the Fermi level: 3.39 states/eV/cell. For the energy of formation, the calculation gives 0.58 eV/atom. For the polymorph energy (0 for the lowest one), the calculation gives 0.3325 eV per atom.



Repeat the second record exactly.
A plane-wave DFT calculation with PBE-GGA was carried out for a relaxed structure of PrSmTlHg.

Cell lengths 3.8365, 3.8365, 7.8675 Å; angles 90.00, 90.00, 90.00 degrees
With the nearest neighbours (Å) after each atom.
Element x y z (fractional)
Pr  0.0000  0.0000  0.0000  4 Hg 3.37, 4 Tl 3.42
Sm  0.0000  0.0000  0.4832  4 Hg 3.26, 4 Tl 3.36
Tl  0.5000  0.5000  0.7350  4 Sm 3.36, 4 Pr 3.42
Hg  0.5000  0.5000  0.2537  4 Sm 3.26, 4 Pr 3.37

Properties
As for the density of states at the Fermi level: 4.57 states/eV/cell. For the energy of formation, the calculation gives -0.43 eV/atom.



> The lowest energy of formation belongs to which entry?

PrSmTlHg



> Look up the energy of formation of the first one.

-0.38 eV/atom



> Look up the energy of formation of the third one.

0.58 eV/atom